Computed, not measured: a geometry-optimized ZrFe2Ge2 structure at the GGA-PBE level of DFT.

```
ZrFe2Ge2
1.0
7.1504 0.0000 0.0000
0.0000 7.1504 0.0000
0.0000 0.0000 2.8869
Fe Ge Zr
4 4 2
Direct
0.8781 0.6219 0.0000 Fe
0.6219 0.1219 0.0000 Fe
0.1219 0.3781 0.0000 Fe
0.3781 0.8781 0.0000 Fe
0.1693 0.6693 0.5000 Ge
0.8307 0.3307 0.5000 Ge
0.6693 0.8307 0.5000 Ge
0.3307 0.1693 0.5000 Ge
0.0000 0.0000 0.0000 Zr
0.5000 0.5000 0.0000 Zr
```

E, eV/atom: -7.07
ρ, Mg/m³: 7.8
DFT formation energy, eV/atom: -0.132


Computed, not measured: a geometry-optimized ZrFe2Ge2 structure at the GGA-PBE level of DFT.

```
ZrFe2Ge2
1.0
4.8885 -0.1717 -0.8249
2.2369 4.4137 -0.3587
1.1414 -0.0290 6.7851
Fe Ge Zr
4 4 2
Direct
0.8829 0.8830 0.7499 Fe
0.6171 0.6170 0.7500 Fe
0.1171 0.1170 0.2501 Fe
0.3829 0.3830 0.2500 Fe
0.2500 0.7500 0.5000 Ge
0.7500 0.2500 0.5000 Ge
0.2500 0.7500 0.0000 Ge
0.7500 0.2500 0.0000 Ge
0.2500 0.2500 0.7498 Zr
0.7500 0.7500 0.2502 Zr
```

E, eV/atom: -7.14
ρ, Mg/m³: 7.5
DFT formation energy, eV/atom: -0.196


Computed, not measured: a geometry-optimized Zr2FeGe3 structure at the GGA-PBE level of DFT.

```
Zr2FeGe3
1.0
4.0374 0.0000 0.0000
0.0000 5.4977 0.0000
-2.0187 -2.7488 5.0596
Ge Zr Fe
3 2 1
Direct
0.0000 0.0000 0.0000 Ge
0.3639 0.3639 0.7277 Ge
0.6361 0.6361 0.2723 Ge
0.3173 0.8173 0.6346 Zr
0.6827 0.1827 0.3654 Zr
0.0000 0.5000 0.0000 Fe
```

E, eV/atom: -6.88
ρ, Mg/m³: 6.7
DFT formation energy, eV/atom: -0.313


Computed, not measured: a geometry-optimized ZrFe4Ge2 structure at the GGA-PBE level of DFT.

```
ZrFe4Ge2
1.0
3.9193 0.0000 0.0000
0.0000 6.9996 0.0000
0.0000 0.0000 6.9996
Ge Fe Zr
4 8 2
Direct
0.5000 0.7117 0.7117 Ge
0.0000 0.7883 0.2117 Ge
0.0000 0.2117 0.7883 Ge
0.5000 0.2883 0.2883 Ge
0.5000 0.8595 0.4015 Fe
0.5000 0.4015 0.8595 Fe
0.5000 0.5985 0.1405 Fe
0.0000 0.6405 0.9015 Fe
0.0000 0.9015 0.6405 Fe
0.0000 0.0985 0.3595 Fe
0.5000 0.1405 0.5985 Fe
0.0000 0.3595 0.0985 Fe
0.5000 0.0000 0.0000 Zr
0.0000 0.5000 0.5000 Zr
```

E, eV/atom: -7.67
ρ, Mg/m³: 8.0
DFT formation energy, eV/atom: -0.293


Computed, not measured: a geometry-optimized Zr2FeGe structure at the GGA-PBE level of DFT.

```
Zr2FeGe
1.0
-2.6632 -3.7578 -5.4243
-2.5527 -4.8073 4.5837
-5.1363 -2.7613 -0.2329
Fe Zr Ge
2 4 2
Direct
0.5000 0.5000 0.0000 Fe
0.2500 0.7500 0.5000 Fe
0.1585 0.6250 0.2500 Zr
0.5915 0.1250 0.2500 Zr
0.8750 0.8415 0.7500 Zr
0.3750 0.4085 0.7500 Zr
0.7500 0.2500 0.5000 Ge
0.0000 0.0000 0.0000 Ge
```

E, eV/atom: -7.48
ρ, Mg/m³: 6.9
DFT formation energy, eV/atom: 0.060


Computed, not measured: a geometry-optimized ZrFe6Ge6 structure at the GGA-PBE level of DFT.

```
ZrFe6Ge6
1.0
5.0682 0.0000 0.0000
-2.5341 4.3892 0.0000
0.0000 0.0000 8.0583
Ge Fe Zr
6 6 1
Direct
0.3333 0.6667 0.0000 Ge
0.3333 0.6667 0.5000 Ge
0.6667 0.3333 0.0000 Ge
0.0000 0.0000 0.3425 Ge
0.0000 0.0000 0.6575 Ge
0.6667 0.3333 0.5000 Ge
0.5000 0.0000 0.2494 Fe
0.5000 0.0000 0.7506 Fe
0.5000 0.5000 0.7506 Fe
0.0000 0.5000 0.2494 Fe
0.5000 0.5000 0.2494 Fe
0.0000 0.5000 0.7506 Fe
0.0000 0.0000 0.0000 Zr
```

E, eV/atom: -6.95
ρ, Mg/m³: 8.0
DFT formation energy, eV/atom: -0.256


Number 1: calculated volume 147.6 Å³/cell, magnetic moment 3.34 μB/f.u.. Number 2: calculated volume 153.2 Å³/cell, magnetic moment 1.73 μB/f.u.. Number 3: calculated volume 112.3 Å³/cell, magnetic moment 2.25 μB/f.u.. Number 4: calculated volume 192.0 Å³/cell, magnetic moment 6.58 μB/f.u.. Number 5: calculated volume 149.7 Å³/cell, magnetic moment 0.00 μB/f.u.. Number 6: calculated volume 179.3 Å³/cell, magnetic moment 10.81 μB/f.u..